A geometry-optimized BaMgZr2 structure. Source: Alexandria, functional GGA-PBE.

Geometry as POSCAR:
```
BaMgZr2
1.0
-2.241 2.241 11.424
2.241 -2.241 11.424
2.241 2.241 -11.424
Ba Mg Zr
2 2 4
direct
0.000 0.000 0.000 Ba
0.750 0.250 0.500 Ba
0.250 0.750 0.500 Mg
0.500 0.500 0.000 Mg
0.144 0.625 0.019 Zr
0.375 0.394 0.519 Zr
0.606 0.125 0.981 Zr
0.875 0.856 0.481 Zr
```

Output
total energy: -4.45 eV/atom
E_form: 0.71 eV/atom